(1)
VASP calculation (PBE) on crystalline BaReOs2 at its relaxed geometry.

Unit cell a=5.8497 b=5.8497 c=5.8497 alpha=149.34 beta=122.72 gamma=66.38
Closest atoms and distances in Å follow each position.
Positions (direct):
Re (0.7500, 0.2500, 0.5000)  4 Os 2.48
Os (0.9482, 0.9482, 0.0000)  2 Re 2.48
Os (0.5518, 0.5518, 0.0000)  2 Re 2.48
Ba (0.2500, 0.7500, 0.5000)  2 Ba 3.09, 4 Re 3.20, 8 Os 3.34-3.41

---

(2)
VASP calculation (PBE) on crystalline Ba2ReOs at its relaxed geometry.

Unit cell a=11.8698 b=11.8698 c=8.7237 alpha=47.13 beta=47.13 gamma=90.00
Closest atoms and distances in Å follow each position.
Positions (direct):
Re (0.5000, 0.5000, 0.0000)  2 Os 2.38
Re (0.2500, 0.7500, 0.5000)  2 Os 2.38
Os (0.0000, 0.0000, 0.0000)  2 Re 2.38
Os (0.7500, 0.2500, 0.5000)  2 Re 2.38
Ba (0.7984, 0.1250, 0.2500)  2 Os 3.16
Ba (0.9516, 0.6250, 0.2500)  2 Os 3.16
Ba (0.3750, 0.2016, 0.7500)  2 Os 3.16
Ba (0.8750, 0.0484, 0.7500)  2 Os 3.16

---

(3)
VASP calculation (PBE) on crystalline Ba2ReOs at its relaxed geometry.

Unit cell a=9.7699 b=9.7699 c=9.7699 alpha=25.00 beta=25.00 gamma=25.00
Closest atoms and distances in Å follow each position.
Positions (direct):
Re (0.7869, 0.7869, 0.7869)  3 Os 2.46
Os (0.4636, 0.4636, 0.4636)  3 Re 2.46
Ba (0.0373, 0.0373, 0.0373)  3 Re 3.39, 3 Os 3.59
Ba (0.2122, 0.2122, 0.2122)  3 Os 3.37, 3 Re 3.58

---

(4)
VASP calculation (PBE) on crystalline BaReOs2 at its relaxed geometry.

Unit cell a=2.9632 b=5.0169 c=5.0236 alpha=90.00 beta=90.00 gamma=90.00
Closest atoms and distances in Å follow each position.
Positions (direct):
Re (0.5000, 0.0000, 0.5000)  4 Ba 2.91, 4 Os 2.92, 2 Re 2.96
Os (0.0000, 0.0000, 0.0000)  6 Os 2.91-2.96, 4 Re 2.92
Os (0.5000, 0.5000, 0.0000)  6 Os 2.91-2.96, 4 Ba 2.92
Ba (0.0000, 0.5000, 0.5000)  4 Re 2.91, 4 Os 2.92, 2 Ba 2.96

---

(5)
VASP calculation (PBE) on crystalline BaReOs2 at its relaxed geometry.

Unit cell a=4.6832 b=4.6832 c=6.8690 alpha=78.11 beta=78.11 gamma=38.63
Closest atoms and distances in Å follow each position.
Positions (direct):
Re (0.7500, 0.7500, 0.7500)  4 Os 2.50
Os (0.0300, 0.0300, 0.8876)  2 Re 2.50, 2 Os 2.59
Os (0.4700, 0.4700, 0.6124)  2 Re 2.50, 2 Os 2.59
Ba (0.2500, 0.2500, 0.2500)  2 Ba 3.10, 4 Os 3.47

---

(6)
VASP calculation (PBE) on crystalline Ba2Re2Os at its relaxed geometry.

Unit cell a=9.4319 b=9.4319 c=2.8113 alpha=90.00 beta=90.00 gamma=90.00
Closest atoms and distances in Å follow each position.
Positions (direct):
Re (0.1773, 0.6773, 0.5000)  2 Re 2.81, 2 Ba 2.95
Re (0.6773, 0.8227, 0.5000)  2 Re 2.81, 2 Ba 2.95
Re (0.8227, 0.3227, 0.5000)  2 Re 2.81, 2 Ba 2.95
Re (0.3227, 0.1773, 0.5000)  2 Re 2.81, 2 Ba 2.95
Os (0.0000, 0.0000, 0.0000)  2 Os 2.81
Os (0.5000, 0.5000, 0.0000)  2 Os 2.81
Ba (0.3720, 0.8720, 0.0000)  2 Ba 2.81, 2 Re 2.95
Ba (0.8720, 0.6280, 0.0000)  2 Ba 2.81, 2 Re 2.95
Ba (0.6280, 0.1280, 0.0000)  2 Ba 2.81, 2 Re 2.95
Ba (0.1280, 0.3720, 0.0000)  2 Ba 2.81, 2 Re 2.95

---

Per-record DFT total energy, eV per atom: -7.9426; -5.8376; -6.6073; -7.4548; -8.4027; -5.5008
Per-record E above lowest polymorph, eV per atom: 0.522; 0.770; 0.000; 1.010; 0.062; 1.398